[1]
Material: Rb2PaCrS4
Method: DFT, PBE
State: optimized geometry

Geometry as extended XYZ:
```
8
Lattice="6.601 0.000 0.000 0.000 4.102 0.000 -2.349 0.000 7.672" Properties=species:S:1:pos:R:3 pbc="T T T"
Rb 0.000 0.000 0.000
Rb 3.300 2.051 0.000
Pa -1.175 2.051 3.836
Cr 2.126 0.000 3.836
S -0.018 0.000 5.277
S 1.056 2.051 2.414
S 3.195 2.051 5.258
S 4.270 0.000 2.395
```

[2]
Material: RbPa2CrS8
Method: DFT, PBE
State: optimized geometry

Geometry as extended XYZ:
```
12
Lattice="5.891 0.000 0.000 0.318 6.248 0.000 0.007 0.004 8.477" Properties=species:S:1:pos:R:3 pbc="T T T"
Rb 0.000 0.000 0.000
Pa 3.107 3.126 2.107
Pa 3.109 3.127 6.370
Cr 0.004 0.002 4.239
S 1.608 5.133 5.817
S 1.609 5.135 2.659
S 1.699 2.470 0.002
S 1.733 1.914 4.240
S 4.483 4.338 4.237
S 4.517 3.782 8.475
S 4.606 1.117 5.818
S 4.607 1.119 2.660
```

[3]
Material: Rb2Pa2CrS6
Method: DFT, PBE
State: optimized geometry

Geometry as extended XYZ:
```
11
Lattice="3.407 -5.949 0.000 3.407 5.949 0.000 -2.165 0.000 7.893" Properties=species:S:1:pos:R:3 pbc="T T T"
Rb 3.407 4.020 0.000
Rb 3.407 -4.020 0.000
Pa 2.325 1.951 3.946
Pa 2.325 -1.951 3.946
Cr -1.082 0.000 3.946
S 0.061 2.015 5.409
S 1.105 0.000 2.512
S 0.061 -2.015 5.409
S 4.588 2.015 2.484
S 3.545 0.000 5.381
S 4.588 -2.015 2.484
```

no.,E_tot (eV/atom),raw formation energy (eV per atom)
1,-5.875,-1.179
2,-6.171,-0.954
3,-6.365,-1.336